No. 1
Al3GaTc: relaxed, GGA-PBE.

abc: 4.7905 4.7905 4.7905
angles: 90.00 90.00 90.00
With the nearest neighbours (Å) after each atom.
Element x y z (fractional)
Al: 0.0000 0.0000 0.5000  2 Tc 2.40
Al: 0.0000 0.5000 0.0000  2 Tc 2.40
Al: 0.5000 0.0000 0.0000  2 Tc 2.40
Ga: 0.5000 0.5000 0.5000  12 Al 3.39
Tc: 0.0000 0.0000 0.0000  6 Al 2.40

Properties
Theoretical density in g cm⁻³: 3.76
Offset from the most stable computed form in meV/atom: 382
Total DFT energy (no corrections) in Ha/atom: -0.174
ΔE_f in kJ/mol of atoms: 18.4

No. 2
Al3GaTc: relaxed, GGA-PBE.

abc: 4.7037 4.7037 4.7037
angles: 90.00 90.00 90.00
With the nearest neighbours (Å) after each atom.
Element x y z (fractional)
Al: 0.0000 0.0000 0.5000  2 Ga 2.35
Al: 0.0000 0.5000 0.0000  2 Ga 2.35
Al: 0.5000 0.0000 0.0000  2 Ga 2.35
Ga: 0.0000 0.0000 0.0000  6 Al 2.35
Tc: 0.5000 0.5000 0.5000  12 Al 3.33

Properties
Theoretical density in g cm⁻³: 3.97
Offset from the most stable computed form in meV/atom: 1312
Total DFT energy (no corrections) in Ha/atom: -0.140
ΔE_f in kJ/mol of atoms: 108.2

No. 3
Al2Ga6Tc: relaxed, GGA-PBE.

abc: 8.2314 8.2314 2.9608
angles: 90.00 90.00 120.00
With the nearest neighbours (Å) after each atom.
Element x y z (fractional)
Al: 0.3333 0.6667 0.3364  3 Ga 2.58
Al: 0.6667 0.3333 0.6636  3 Ga 2.58
Ga: 0.1723 0.3445 0.7316  1 Al 2.58, 1 Tc 2.58, 2 Ga 2.81
Ga: 0.1723 0.8277 0.7316  1 Al 2.58, 1 Tc 2.58, 2 Ga 2.81
Ga: 0.3445 0.1723 0.2684  1 Al 2.58, 1 Tc 2.58, 2 Ga 2.81
Ga: 0.6555 0.8277 0.7316  1 Al 2.58, 1 Tc 2.58, 2 Ga 2.81
Ga: 0.8277 0.1723 0.2684  1 Al 2.58, 1 Tc 2.58, 2 Ga 2.81
Ga: 0.8277 0.6555 0.2684  1 Al 2.58, 1 Tc 2.58, 2 Ga 2.81
Tc: 0.0000 0.0000 0.0000  6 Ga 2.58

Properties
Theoretical density in g cm⁻³: 5.45
Total DFT energy (no corrections) in Ha/atom: -0.143
ΔE_f in kJ/mol of atoms: 9.6

No. 4
AlGa3Tc: relaxed, GGA-PBE.

abc: 4.8105 4.8105 4.8105
angles: 90.00 90.00 90.00
With the nearest neighbours (Å) after each atom.
Element x y z (fractional)
Al: 0.0000 0.0000 0.0000  6 Ga 2.41
Ga: 0.0000 0.0000 0.5000  2 Al 2.41
Ga: 0.0000 0.5000 0.0000  2 Al 2.41
Ga: 0.5000 0.0000 0.0000  2 Al 2.41
Tc: 0.5000 0.5000 0.5000  12 Ga 3.40

Properties
Theoretical density in g cm⁻³: 4.98
Offset from the most stable computed form in meV/atom: 806
Total DFT energy (no corrections) in Ha/atom: -0.132
ΔE_f in kJ/mol of atoms: 100.1

No. 5
Al2Ga2Tc: relaxed, GGA-PBE.

abc: 6.6892 6.6892 3.6289
angles: 90.00 90.00 90.00
With the nearest neighbours (Å) after each atom.
Element x y z (fractional)
Al: 0.1418 0.3582 0.0000  2 Tc 2.58, 6 Ga 2.59-2.74, 1 Al 2.68
Al: 0.3582 0.8582 0.0000  2 Tc 2.58, 6 Ga 2.59-2.74, 1 Al 2.68
Al: 0.6418 0.1418 0.0000  2 Tc 2.58, 6 Ga 2.59-2.74, 1 Al 2.68
Al: 0.8582 0.6418 0.0000  2 Tc 2.58, 6 Ga 2.59-2.74, 1 Al 2.68
Ga: 0.1634 0.6634 0.5000  6 Al 2.59-2.74
Ga: 0.3366 0.1634 0.5000  6 Al 2.59-2.74
Ga: 0.6634 0.8366 0.5000  6 Al 2.59-2.74
Ga: 0.8366 0.3366 0.5000  6 Al 2.59-2.74
Tc: 0.0000 0.0000 0.0000  4 Al 2.58
Tc: 0.5000 0.5000 0.0000  4 Al 2.58

Properties
Theoretical density in g cm⁻³: 5.96
Offset from the most stable computed form in meV/atom: 332
Total DFT energy (no corrections) in Ha/atom: -0.170
ΔE_f in kJ/mol of atoms: 15.7

No. 6
Al2Ga8Tc: relaxed, GGA-PBE.

abc: 6.7807 6.7807 4.6915
angles: 97.30 97.30 75.70
With the nearest neighbours (Å) after each atom.
Element x y z (fractional)
Al: 0.2429 0.2429 0.0932  6 Ga 2.55-2.83, 1 Tc 2.57
Al: 0.7571 0.7571 0.9068  6 Ga 2.55-2.83, 1 Tc 2.57
Ga: 0.1237 0.1237 0.5346  2 Al 2.60-2.72, 4 Ga 2.62-2.81, 2 Tc 2.64-2.73
Ga: 0.1845 0.6322 0.1491  1 Al 2.55, 2 Ga 2.59-2.79, 1 Tc 2.64
Ga: 0.3678 0.8155 0.8509  1 Al 2.55, 2 Ga 2.59-2.79, 1 Tc 2.64
Ga: 0.3900 0.3900 0.6419  2 Al 2.79-2.83, 8 Ga 2.81-3.00
Ga: 0.6100 0.6100 0.3581  2 Al 2.79-2.83, 8 Ga 2.81-3.00
Ga: 0.6322 0.1845 0.1491  1 Al 2.55, 2 Ga 2.59-2.79, 1 Tc 2.64
Ga: 0.8155 0.3678 0.8509  1 Al 2.55, 2 Ga 2.59-2.79, 1 Tc 2.64
Ga: 0.8763 0.8763 0.4654  2 Al 2.60-2.72, 4 Ga 2.62-2.81, 2 Tc 2.64-2.73
Tc: 0.0000 0.0000 0.0000  2 Al 2.57, 8 Ga 2.64-2.73

Properties
Theoretical density in g cm⁻³: 5.71
Total DFT energy (no corrections) in Ha/atom: -0.141
ΔE_f in kJ/mol of atoms: -1.7

No. 7
Al6Ga12Tc: relaxed, GGA-PBE.

abc: 7.0751 7.0751 7.0751
angles: 99.10 99.10 99.10
With the nearest neighbours (Å) after each atom.
Element x y z (fractional)
Al: 0.2476 0.7171 0.3797  6 Ga 2.59-2.90, 1 Tc 2.66, 2 Al 2.81
Al: 0.2829 0.6203 0.7524  6 Ga 2.59-2.90, 1 Tc 2.66, 2 Al 2.81
Al: 0.3797 0.2476 0.7171  6 Ga 2.59-2.90, 1 Tc 2.66, 2 Al 2.81
Al: 0.6203 0.7524 0.2829  6 Ga 2.59-2.90, 1 Tc 2.66, 2 Al 2.81
Al: 0.7171 0.3797 0.2476  6 Ga 2.59-2.90, 1 Tc 2.66, 2 Al 2.81
Al: 0.7524 0.2829 0.6203  6 Ga 2.59-2.90, 1 Tc 2.66, 2 Al 2.81
Ga: 0.0032 0.9441 0.3027  2 Al 2.59-2.80, 4 Ga 2.63-2.79
Ga: 0.0559 0.6973 0.9968  2 Al 2.59-2.80, 4 Ga 2.63-2.79
Ga: 0.0935 0.3247 0.4219  1 Ga 2.63, 4 Al 2.85-2.90, 1 Tc 2.88
Ga: 0.3027 0.0032 0.9441  2 Al 2.59-2.80, 4 Ga 2.63-2.79
Ga: 0.3247 0.4219 0.0935  1 Ga 2.63, 4 Al 2.85-2.90, 1 Tc 2.88
Ga: 0.4219 0.0935 0.3247  1 Ga 2.63, 4 Al 2.85-2.90, 1 Tc 2.88
Ga: 0.5781 0.9065 0.6753  1 Ga 2.63, 4 Al 2.85-2.90, 1 Tc 2.88
Ga: 0.6753 0.5781 0.9065  1 Ga 2.63, 4 Al 2.85-2.90, 1 Tc 2.88
Ga: 0.6973 0.9968 0.0559  2 Al 2.59-2.80, 4 Ga 2.63-2.79
Ga: 0.9065 0.6753 0.5781  1 Ga 2.63, 4 Al 2.85-2.90, 1 Tc 2.88
Ga: 0.9441 0.3027 0.0032  2 Al 2.59-2.80, 4 Ga 2.63-2.79
Ga: 0.9968 0.0559 0.6973  2 Al 2.59-2.80, 4 Ga 2.63-2.79
Tc: 0.5000 0.5000 0.5000  6 Al 2.66, 6 Ga 2.88

Properties
Theoretical density in g cm⁻³: 5.37
Offset from the most stable computed form in meV/atom: 4
Total DFT energy (no corrections) in Ha/atom: -0.134
ΔE_f in kJ/mol of atoms: 0.3

No. 8
Al6GaTc: relaxed, GGA-PBE.

abc: 5.5251 5.5251 5.5251
angles: 109.08 109.08 109.08
With the nearest neighbours (Å) after each atom.
Element x y z (fractional)
Al: 0.2490 0.2490 0.7387  1 Tc 2.59, 1 Ga 2.69, 6 Al 2.73-2.87
Al: 0.2490 0.7387 0.2490  1 Tc 2.59, 1 Ga 2.69, 6 Al 2.73-2.87
Al: 0.2613 0.7510 0.7510  1 Tc 2.59, 1 Ga 2.69, 6 Al 2.73-2.87
Al: 0.7387 0.2490 0.2490  1 Tc 2.59, 1 Ga 2.69, 6 Al 2.73-2.87
Al: 0.7510 0.2613 0.7510  1 Tc 2.59, 1 Ga 2.69, 6 Al 2.73-2.87
Al: 0.7510 0.7510 0.2613  1 Tc 2.59, 1 Ga 2.69, 6 Al 2.73-2.87
Ga: 0.0000 0.0000 0.0000  6 Al 2.69, 2 Tc 2.82
Tc: 0.5000 0.5000 0.5000  6 Al 2.59, 2 Ga 2.82

Properties
Theoretical density in g cm⁻³: 4.16
Total DFT energy (no corrections) in Ha/atom: -0.164
ΔE_f in kJ/mol of atoms: 2.2